# 1
# Mg3SiO4F2 GGA-PBE optimized geometry
data_Mg3SiO4F2
_space_group_name_H-M_alt 'P n m a'
_space_group_IT_number 62
_cell_length_a 10.388
_cell_length_b 8.836
_cell_length_c 4.761
_cell_angle_alpha 90.00
_cell_angle_beta 90.00
_cell_angle_gamma 90.00
loop_
_space_group_symop_operation_xyz
'x,y,z'
'-x,-y,-z'
'-x+1/2,-y,z+1/2'
'x+1/2,y,-z+1/2'
'x+1/2,-y+1/2,-z+1/2'
'-x+1/2,y+1/2,z+1/2'
'-x,y+1/2,-z'
'x,-y+1/2,z'
loop_
_atom_site_label
_atom_site_fract_x
_atom_site_fract_y
_atom_site_fract_z
Mg1 0.093 0.250 0.006
Mg2 0.133 0.570 0.510
Si1 0.220 0.750 0.080
O1 0.074 0.750 0.222
O2 0.209 0.103 0.732
O3 0.221 0.750 0.738
F1 0.033 0.085 0.274
# Calculated total energy (eV per atom): -6.43
# Magnetization (μB per cell): 0.00
# Formation energy (no corrections) (kJ/mol of formula units): -2949

=====

# 2
# Mg5Si2O8F2 GGA-PBE optimized geometry
data_Mg5Si2O8F2
_space_group_name_H-M_alt 'P 1 21/c 1'
_space_group_IT_number 14
_cell_length_a 7.888
_cell_length_b 4.778
_cell_length_c 10.369
_cell_angle_alpha 90.00
_cell_angle_beta 109.24
_cell_angle_gamma 90.00
loop_
_space_group_symop_operation_xyz
'x,y,z'
'-x,-y,-z'
'-x,y+1/2,-z+1/2'
'x,-y+1/2,z+1/2'
loop_
_atom_site_label
_atom_site_fract_x
_atom_site_fract_y
_atom_site_fract_z
Mg1 0.000 0.000 0.000
Mg2 0.198 0.007 0.328
Mg3 0.420 0.008 0.113
Si1 0.204 0.577 0.144
O1 0.026 0.725 0.168
O2 0.207 0.235 0.145
O3 0.207 0.722 0.999
O4 0.376 0.731 0.260
F1 0.394 0.223 0.940
# Calculated total energy (eV per atom): -6.62
# Magnetization (μB per cell): 0.00
# Formation energy (no corrections) (kJ/mol of formula units): -4862

=====

# 3
# Mg10Si3O14F4 GGA-PBE optimized geometry
data_Mg10Si3O14F4
_space_group_name_H-M_alt 'P n n m'
_space_group_IT_number 58
_cell_length_a 5.099
_cell_length_b 14.107
_cell_length_c 8.734
_cell_angle_alpha 90.00
_cell_angle_beta 90.00
_cell_angle_gamma 90.00
loop_
_space_group_symop_operation_xyz
'x,y,z'
'-x,-y,-z'
'-x,-y,z'
'x,y,-z'
'x+1/2,-y+1/2,-z+1/2'
'-x+1/2,y+1/2,z+1/2'
'-x+1/2,y+1/2,-z+1/2'
'x+1/2,-y+1/2,z+1/2'
loop_
_atom_site_label
_atom_site_fract_x
_atom_site_fract_y
_atom_site_fract_z
Mg1 0.000 0.000 0.154
Mg2 0.000 0.500 0.184
Mg3 0.153 0.176 0.321
Mg4 0.167 0.329 0.000
Si1 0.000 0.000 0.500
Si2 0.009 0.624 0.500
O1 0.006 0.743 0.500
O2 0.145 0.927 0.354
O3 0.171 0.590 0.342
O4 0.192 0.581 0.000
O5 0.214 0.921 0.000
F1 0.006 0.742 0.165
# Calculated total energy (eV per atom): -6.44
# Magnetization (μB per cell): 0.00
# Formation energy (no corrections) (kJ/mol of formula units): -8728

=====

# 4
# MgSnO2F GGA-PBE optimized geometry
data_MgSnO2F
_space_group_name_H-M_alt 'P 4/m m m'
_space_group_IT_number 123
_space_group_name_Hall '-P 4 2'
_cell_length_a 4.045
_cell_length_b 4.045
_cell_length_c 3.694
_cell_angle_alpha 90.00
_cell_angle_beta 90.00
_cell_angle_gamma 90.00
loop_
_atom_site_label
_atom_site_fract_x
_atom_site_fract_y
_atom_site_fract_z
Mg1 0.000 0.000 0.000
Sn1 0.500 0.500 0.500
O1 0.000 0.500 0.000
F1 0.000 0.000 0.500
# Calculated total energy (eV per atom): -5.21
# Magnetization (μB per cell): 0.00
# Formation energy (no corrections) (kJ/mol of formula units): -834

=====

# 5
# MgSnO2F GGA-PBE optimized geometry
data_MgSnO2F
_space_group_name_H-M_alt 'P 4/m m m'
_space_group_IT_number 123
_space_group_name_Hall '-P 4 2'
_cell_length_a 4.143
_cell_length_b 4.143
_cell_length_c 4.294
_cell_angle_alpha 90.00
_cell_angle_beta 90.00
_cell_angle_gamma 90.00
loop_
_atom_site_label
_atom_site_fract_x
_atom_site_fract_y
_atom_site_fract_z
Mg1 0.000 0.000 0.000
Sn1 0.500 0.500 0.500
O1 0.000 0.500 0.500
F1 0.500 0.500 0.000
# Calculated total energy (eV per atom): -4.90
# Magnetization (μB per cell): 0.00
# Formation energy (no corrections) (kJ/mol of formula units): -684

=====

# 6
# MgTaO2F GGA-PBE optimized geometry
data_MgTaO2F
_space_group_name_H-M_alt 'P 4/m m m'
_space_group_IT_number 123
_space_group_name_Hall '-P 4 2'
_cell_length_a 3.941
_cell_length_b 3.941
_cell_length_c 3.515
_cell_angle_alpha 90.00
_cell_angle_beta 90.00
_cell_angle_gamma 90.00
loop_
_atom_site_label
_atom_site_fract_x
_atom_site_fract_y
_atom_site_fract_z
Mg1 0.000 0.000 0.000
Ta1 0.500 0.500 0.500
O1 0.000 0.500 0.000
F1 0.000 0.000 0.500
# Calculated total energy (eV per atom): -6.47
# Magnetization (μB per cell): 1.76
# Formation energy (no corrections) (kJ/mol of formula units): -686

=====

# 7
# MgTaO2F GGA-PBE optimized geometry
data_MgTaO2F
_space_group_name_H-M_alt 'P 4/m m m'
_space_group_IT_number 123
_space_group_name_Hall '-P 4 2'
_cell_length_a 4.001
_cell_length_b 4.001
_cell_length_c 4.311
_cell_angle_alpha 90.00
_cell_angle_beta 90.00
_cell_angle_gamma 90.00
loop_
_atom_site_label
_atom_site_fract_x
_atom_site_fract_y
_atom_site_fract_z
Mg1 0.000 0.000 0.000
Ta1 0.500 0.500 0.500
O1 0.000 0.500 0.500
F1 0.500 0.500 0.000
# Calculated total energy (eV per atom): -7.01
# Magnetization (μB per cell): 0.80
# Formation energy (no corrections) (kJ/mol of formula units): -945

=====

# 8
# MgTcOF2 GGA-PBE optimized geometry
data_MgTcOF2
_space_group_name_H-M_alt 'P 4/m m m'
_space_group_IT_number 123
_space_group_name_Hall '-P 4 2'
_cell_length_a 4.332
_cell_length_b 4.332
_cell_length_c 3.769
_cell_angle_alpha 90.00
_cell_angle_beta 90.00
_cell_angle_gamma 90.00
loop_
_atom_site_label
_atom_site_fract_x
_atom_site_fract_y
_atom_site_fract_z
Mg1 0.000 0.000 0.000
Tc1 0.500 0.500 0.500
O1 0.500 0.500 0.000
F1 0.000 0.500 0.500
# Calculated total energy (eV per atom): -5.40
# Magnetization (μB per cell): 0.00
# Formation energy (no corrections) (kJ/mol of formula units): -610

=====

# 9
# MgTcO2F GGA-PBE optimized geometry
data_MgTcO2F
_space_group_name_H-M_alt 'P 4/m m m'
_space_group_IT_number 123
_space_group_name_Hall '-P 4 2'
_cell_length_a 4.529
_cell_length_b 4.529
_cell_length_c 3.415
_cell_angle_alpha 90.00
_cell_angle_beta 90.00
_cell_angle_gamma 90.00
loop_
_atom_site_label
_atom_site_fract_x
_atom_site_fract_y
_atom_site_fract_z
Mg1 0.000 0.000 0.000
Tc1 0.500 0.500 0.000
O1 0.000 0.500 0.500
F1 0.000 0.000 0.500
# Calculated total energy (eV per atom): -4.75
# Magnetization (μB per cell): 5.95
# Formation energy (no corrections) (kJ/mol of formula units): 1

=====

# 10
# MgTcOF2 GGA-PBE optimized geometry
data_MgTcOF2
_space_group_name_H-M_alt 'P 4/m m m'
_space_group_IT_number 123
_space_group_name_Hall '-P 4 2'
_cell_length_a 3.778
_cell_length_b 3.778
_cell_length_c 4.284
_cell_angle_alpha 90.00
_cell_angle_beta 90.00
_cell_angle_gamma 90.00
loop_
_atom_site_label
_atom_site_fract_x
_atom_site_fract_y
_atom_site_fract_z
Mg1 0.000 0.000 0.000
Tc1 0.500 0.500 0.500
O1 0.000 0.000 0.500
F1 0.000 0.500 0.000
# Calculated total energy (eV per atom): -5.72
# Magnetization (μB per cell): 4.98
# Formation energy (no corrections) (kJ/mol of formula units): -764

=====

# 11
# MgTcO2F GGA-PBE optimized geometry
data_MgTcO2F
_space_group_name_H-M_alt 'P 4/m m m'
_space_group_IT_number 123
_space_group_name_Hall '-P 4 2'
_cell_length_a 3.956
_cell_length_b 3.956
_cell_length_c 3.632
_cell_angle_alpha 90.00
_cell_angle_beta 90.00
_cell_angle_gamma 90.00
loop_
_atom_site_label
_atom_site_fract_x
_atom_site_fract_y
_atom_site_fract_z
Mg1 0.000 0.000 0.000
Tc1 0.500 0.500 0.500
O1 0.000 0.500 0.000
F1 0.000 0.000 0.500
# Calculated total energy (eV per atom): -5.84
# Magnetization (μB per cell): 4.00
# Formation energy (no corrections) (kJ/mol of formula units): -526

=====

# 12
# MgTcO2F GGA-PBE optimized geometry
data_MgTcO2F
_space_group_name_H-M_alt 'P 4/m m m'
_space_group_IT_number 123
_space_group_name_Hall '-P 4 2'
_cell_length_a 3.880
_cell_length_b 3.880
_cell_length_c 4.312
_cell_angle_alpha 90.00
_cell_angle_beta 90.00
_cell_angle_gamma 90.00
loop_
_atom_site_label
_atom_site_fract_x
_atom_site_fract_y
_atom_site_fract_z
Mg1 0.000 0.000 0.000
Tc1 0.500 0.500 0.500
O1 0.000 0.500 0.500
F1 0.500 0.500 0.000
# Calculated total energy (eV per atom): -6.04
# Magnetization (μB per cell): 0.65
# Formation energy (no corrections) (kJ/mol of formula units): -622

=====

# 13
# MgTeOF2 GGA-PBE optimized geometry
data_MgTeOF2
_space_group_name_H-M_alt 'P 4/m m m'
_space_group_IT_number 123
_space_group_name_Hall '-P 4 2'
_cell_length_a 3.763
_cell_length_b 3.763
_cell_length_c 4.888
_cell_angle_alpha 90.00
_cell_angle_beta 90.00
_cell_angle_gamma 90.00
loop_
_atom_site_label
_atom_site_fract_x
_atom_site_fract_y
_atom_site_fract_z
Mg1 0.000 0.000 0.000
Te1 0.500 0.500 0.500
O1 0.000 0.000 0.500
F1 0.000 0.500 0.000
# Calculated total energy (eV per atom): -4.47
# Magnetization (μB per cell): 0.93
# Formation energy (no corrections) (kJ/mol of formula units): -862

=====

# 14
# Mg2TeOF GGA-PBE optimized geometry
data_Mg2TeOF
_space_group_name_H-M_alt 'P 4/m m m'
_space_group_IT_number 123
_space_group_name_Hall '-P 4 2'
_cell_length_a 4.460
_cell_length_b 4.460
_cell_length_c 4.671
_cell_angle_alpha 90.00
_cell_angle_beta 90.00
_cell_angle_gamma 90.00
loop_
_atom_site_label
_atom_site_fract_x
_atom_site_fract_y
_atom_site_fract_z
Mg1 0.000 0.500 0.000
Te1 0.000 0.000 0.500
O1 0.000 0.000 0.000
F1 0.500 0.500 0.500
# Calculated total energy (eV per atom): -3.55
# Magnetization (μB per cell): 0.00
# Formation energy (no corrections) (kJ/mol of formula units): -441

=====

# 15
# MgTeOF2 GGA-PBE optimized geometry
data_MgTeOF2
_space_group_name_H-M_alt 'P 4/m m m'
_space_group_IT_number 123
_space_group_name_Hall '-P 4 2'
_cell_length_a 4.786
_cell_length_b 4.786
_cell_length_c 4.073
_cell_angle_alpha 90.00
_cell_angle_beta 90.00
_cell_angle_gamma 90.00
loop_
_atom_site_label
_atom_site_fract_x
_atom_site_fract_y
_atom_site_fract_z
Mg1 0.000 0.000 0.000
Te1 0.500 0.500 0.500
O1 0.500 0.500 0.000
F1 0.000 0.500 0.500
# Calculated total energy (eV per atom): -3.71
# Magnetization (μB per cell): 0.00
# Formation energy (no corrections) (kJ/mol of formula units): -494

=====

# 16
# MgTiO2F GGA-PBE optimized geometry
data_MgTiO2F
_space_group_name_H-M_alt 'P 4/m m m'
_space_group_IT_number 123
_space_group_name_Hall '-P 4 2'
_cell_length_a 3.909
_cell_length_b 3.909
_cell_length_c 3.961
_cell_angle_alpha 90.00
_cell_angle_beta 90.00
_cell_angle_gamma 90.00
loop_
_atom_site_label
_atom_site_fract_x
_atom_site_fract_y
_atom_site_fract_z
Mg1 0.000 0.000 0.000
Ti1 0.500 0.500 0.500
O1 0.000 0.500 0.500
F1 0.500 0.500 0.000
# Calculated total energy (eV per atom): -6.67
# Magnetization (μB per cell): 0.60
# Formation energy (no corrections) (kJ/mol of formula units): -1164

=====

# 17
# MgTiOF2 GGA-PBE optimized geometry
data_MgTiOF2
_space_group_name_H-M_alt 'P 4/m m m'
_space_group_IT_number 123
_space_group_name_Hall '-P 4 2'
_cell_length_a 4.193
_cell_length_b 4.193
_cell_length_c 3.837
_cell_angle_alpha 90.00
_cell_angle_beta 90.00
_cell_angle_gamma 90.00
loop_
_atom_site_label
_atom_site_fract_x
_atom_site_fract_y
_atom_site_fract_z
Mg1 0.000 0.000 0.000
Ti1 0.500 0.500 0.500
O1 0.500 0.500 0.000
F1 0.000 0.500 0.500
# Calculated total energy (eV per atom): -5.96
# Magnetization (μB per cell): 1.13
# Formation energy (no corrections) (kJ/mol of formula units): -1121

=====

# 18
# MgTiO2F GGA-PBE optimized geometry
data_MgTiO2F
_space_group_name_H-M_alt 'P 4/m m m'
_space_group_IT_number 123
_space_group_name_Hall '-P 4 2'
_cell_length_a 3.891
_cell_length_b 3.891
_cell_length_c 3.554
_cell_angle_alpha 90.00
_cell_angle_beta 90.00
_cell_angle_gamma 90.00
loop_
_atom_site_label
_atom_site_fract_x
_atom_site_fract_y
_atom_site_fract_z
Mg1 0.000 0.000 0.000
Ti1 0.500 0.500 0.500
O1 0.000 0.500 0.000
F1 0.000 0.000 0.500
# Calculated total energy (eV per atom): -6.19
# Magnetization (μB per cell): 1.00
# Formation energy (no corrections) (kJ/mol of formula units): -934

=====

# 19
# MgTiOF2 GGA-PBE optimized geometry
data_MgTiOF2
_space_group_name_H-M_alt 'P 4/m m m'
_space_group_IT_number 123
_space_group_name_Hall '-P 4 2'
_cell_length_a 3.696
_cell_length_b 3.696
_cell_length_c 4.279
_cell_angle_alpha 90.00
_cell_angle_beta 90.00
_cell_angle_gamma 90.00
loop_
_atom_site_label
_atom_site_fract_x
_atom_site_fract_y
_atom_site_fract_z
Mg1 0.000 0.000 0.000
Ti1 0.500 0.500 0.500
O1 0.000 0.000 0.500
F1 0.000 0.500 0.000
# Calculated total energy (eV per atom): -5.88
# Magnetization (μB per cell): 2.00
# Formation energy (no corrections) (kJ/mol of formula units): -1082

=====

# 20
# Mg3UO6F2 GGA-PBE optimized geometry
data_Mg3UO6F2
_space_group_name_H-M_alt 'C 1 2/m 1'
_space_group_IT_number 12
_cell_length_a 10.963
_cell_length_b 6.055
_cell_length_c 4.580
_cell_angle_alpha 90.00
_cell_angle_beta 93.56
_cell_angle_gamma 90.00
loop_
_space_group_symop_operation_xyz
'x,y,z'
'-x,-y,-z'
'-x,y,-z'
'x,-y,z'
'x+1/2,y+1/2,z'
'-x+1/2,-y+1/2,-z'
'-x+1/2,y+1/2,-z'
'x+1/2,-y+1/2,z'
loop_
_atom_site_label
_atom_site_fract_x
_atom_site_fract_y
_atom_site_fract_z
Mg1 0.000 0.000 0.000
Mg2 0.250 0.250 0.500
U1 0.000 0.500 0.500
O1 0.082 0.247 0.737
O2 0.158 0.500 0.296
F1 0.165 0.000 0.258
# Calculated total energy (eV per atom): -6.71
# Magnetization (μB per cell): 4.03
# Formation energy (no corrections) (kJ/mol of formula units): -2982